{
  "formula": "ScP4Rh",
  "functional": "meta-GGA SCAN",
  "state": "single point on PBEsol structure",
  "dos_ef_per_ev_cell": 3.945,
  "volume_a3_per_atom": 14.45,
  "ef_ev_per_atom": 0.181,
  "lattice_angstrom": [[0.0000, 3.5128, 3.5128], [3.5128, 0.0000, 3.5128], [3.5128, 3.5128, 0.0000]],
  "species": ["Sc", "P", "P", "P", "P", "Rh"],
  "frac_coords": [[0.0000, 0.0000, 0.0000], [0.3769, 0.3769, 0.3769], [0.3769, 0.3769, 0.8693], [0.3769, 0.8693, 0.3769], [0.8693, 0.3769, 0.3769], [0.7500, 0.7500, 0.7500]]
}

---

{
  "formula": "Sc3P2Rh5",
  "functional": "meta-GGA SCAN",
  "state": "single point on PBEsol structure",
  "dos_ef_per_ev_cell": 6.452,
  "volume_a3_per_atom": 15.00,
  "ef_ev_per_atom": -1.116,
  "lattice_angstrom": [[9.2480, 0.0000, 0.0000], [0.0000, 9.2480, 0.0000], [0.0000, 0.0000, 3.5080]],
  "species": ["Sc", "Sc", "Sc", "Sc", "Sc", "Sc", "P", "P", "P", "P", "Rh", "Rh", "Rh", "Rh", "Rh", "Rh", "Rh", "Rh", "Rh", "Rh"],
  "frac_coords": [[0.0000, 0.0000, 0.0000], [0.1721, 0.3279, 0.0000], [0.3279, 0.8279, 0.0000], [0.5000, 0.5000, 0.0000], [0.6721, 0.1721, 0.0000], [0.8279, 0.6721, 0.0000], [0.1267, 0.6267, 0.0000], [0.3733, 0.1267, 0.0000], [0.6267, 0.8733, 0.0000], [0.8733, 0.3733, 0.0000], [0.0000, 0.5000, 0.5000], [0.0706, 0.7849, 0.5000], [0.2151, 0.0706, 0.5000], [0.2849, 0.5706, 0.5000], [0.4294, 0.2849, 0.5000], [0.5000, 0.0000, 0.5000], [0.5706, 0.7151, 0.5000], [0.7151, 0.4294, 0.5000], [0.7849, 0.9294, 0.5000], [0.9294, 0.2151, 0.5000]]
}

---

{
  "formula": "ScPRh",
  "functional": "meta-GGA SCAN",
  "state": "single point on PBEsol structure",
  "dos_ef_per_ev_cell": 1.888,
  "volume_a3_per_atom": 15.38,
  "ef_ev_per_atom": -0.772,
  "lattice_angstrom": [[-1.5590, 1.9137, 3.8654], [1.5590, -1.9137, 3.8654], [1.5590, 1.9137, -3.8654]],
  "species": ["Sc", "P", "Rh"],
  "frac_coords": [[0.0000, 0.0000, 0.0000], [0.3348, 0.3348, 0.0000], [0.6515, 0.6515, 0.0000]]
}

---

{
  "formula": "PRhSe2",
  "functional": "meta-GGA SCAN",
  "state": "single point on PBEsol structure",
  "dos_ef_per_ev_cell": 2.488,
  "raw_formation_energy_kj_per_mol_atoms": 55,
  "volume_a3_per_atom": 15.76,
  "lattice_angstrom": [[3.0444, 0.0000, 0.0000], [0.0000, 4.4556, 0.0000], [0.0000, 0.0000, 4.6479]],
  "species": ["P", "Rh", "Se", "Se"],
  "frac_coords": [[0.0000, 0.0000, 0.0000], [0.5000, 0.0000, 0.5000], [0.0000, 0.5000, 0.5000], [0.5000, 0.5000, 0.0000]]
}

---

{
  "formula": "P2RhSe",
  "functional": "meta-GGA SCAN",
  "state": "single point on PBEsol structure",
  "dos_ef_per_ev_cell": 1.856,
  "raw_formation_energy_kj_per_mol_atoms": 39,
  "volume_a3_per_atom": 15.79,
  "lattice_angstrom": [[1.5245, -2.3974, 0.0000], [1.5245, 2.3974, 0.0000], [0.0000, 0.0000, 8.6431]],
  "species": ["P", "P", "Rh", "Se"],
  "frac_coords": [[0.0000, 0.0000, 0.0000], [0.5000, 0.5000, 0.2041], [0.0000, 0.0000, 0.4100], [0.5000, 0.5000, 0.6525]]
}

---

{
  "formula": "PRh4Se",
  "functional": "meta-GGA SCAN",
  "state": "single point on PBEsol structure",
  "dos_ef_per_ev_cell": 7.153,
  "raw_formation_energy_kj_per_mol_atoms": 67,
  "volume_a3_per_atom": 15.33,
  "lattice_angstrom": [[0.0000, 3.5829, 3.5829], [3.5829, 0.0000, 3.5829], [3.5829, 3.5829, 0.0000]],
  "species": ["P", "Rh", "Rh", "Rh", "Rh", "Se"],
  "frac_coords": [[0.0000, 0.0000, 0.0000], [0.1250, 0.6250, 0.6250], [0.6250, 0.1250, 0.6250], [0.6250, 0.6250, 0.1250], [0.6250, 0.6250, 0.6250], [0.2500, 0.2500, 0.2500]]
}